No. 1
Entry from Alexandria: CaZn2SeO6 after structural relaxation (PBE).

Values from the calculation:
ΔE_f (raw) = -1.39 eV per atom

Cell: 6.6480 7.2821 7.2821 Å, 75.24 70.01 70.01°
Closest atoms and distances in Å follow each position.
Atoms (fractional coordinates):
Ca1 0.2500 0.7662 0.2338  4 O 2.27-2.34
Ca2 0.7500 0.2338 0.7662  4 O 2.27-2.34
Zn1 0.3612 0.7049 0.6611  2 O 1.86-1.87
Zn2 0.1388 0.3389 0.2951  2 O 1.86-1.87
Zn3 0.6388 0.2951 0.3389  2 O 1.86-1.87
Zn4 0.8612 0.6611 0.7049  2 O 1.86-1.87
Se1 0.2500 0.1515 0.8485  4 O 1.67-1.68
Se2 0.7500 0.8485 0.1515  4 O 1.67-1.68
O1 0.2128 0.9331 0.8543  1 Se 1.68
O2 0.2872 0.1457 0.0669  1 Se 1.68
O3 0.7872 0.0669 0.1457  1 Se 1.68
O4 0.7128 0.8543 0.9331  1 Se 1.68
O5 0.5251 0.8135 0.3344  1 Se 1.67
O6 0.9749 0.6656 0.1865  1 Se 1.67
O7 0.4749 0.1865 0.6656  1 Se 1.67
O8 0.0251 0.3344 0.8135  1 Se 1.67
O9 0.1171 0.7423 0.5684  2 Zn 1.86-1.87
O10 0.3829 0.4316 0.2577  2 Zn 1.86-1.87
O11 0.8829 0.2577 0.4316  2 Zn 1.86-1.87
O12 0.6171 0.5684 0.7423  2 Zn 1.86-1.87

=====

No. 2
Entry from Alexandria: Ta2TiHPd after structural relaxation (PBE).

Cell: 4.1139 4.1139 4.1431 Å, 90.00 90.00 90.00°
Closest atoms and distances in Å follow each position.
Atoms (fractional coordinates):
H1 0.0000 0.0000 0.0000  4 Ta 2.06, 2 Ti 2.07
Ti1 0.0000 0.0000 0.5000  2 H 2.07
Pd1 0.5000 0.5000 0.5000  4 Ti 2.91, 8 Ta 2.92
Ta1 0.0000 0.5000 0.0000  2 H 2.06
Ta2 0.5000 0.0000 0.0000  2 H 2.06

=====

No. 3
Entry from Alexandria: Li2InSbS4 after structural relaxation (PBE).

Values from the calculation:
ΔE_f (raw) = -0.75 eV per atom

Cell: 3.8373 6.6263 6.6250 Å, 70.56 90.00 90.00°
Closest atoms and distances in Å follow each position.
Atoms (fractional coordinates):
Li1 0.0000 0.0000 0.0000  6 S 2.72-2.75
Li2 0.5000 0.0000 0.5000  6 S 2.66-2.67
In1 0.0000 0.5000 0.5000  6 S 2.67-2.69
Sb1 0.5000 0.5000 0.0000  6 S 2.75
S1 0.0000 0.7554 0.7411  3 Li 2.67-2.72, 1 In 2.69, 2 Sb 2.75
S2 0.0000 0.2446 0.2589  3 Li 2.67-2.72, 1 In 2.69, 2 Sb 2.75
S3 0.5000 0.7470 0.2607  3 Li 2.66-2.75, 2 In 2.67, 1 Sb 2.75
S4 0.5000 0.2530 0.7393  3 Li 2.66-2.75, 2 In 2.67, 1 Sb 2.75

=====

No. 4
Entry from Alexandria: NbFe2B after structural relaxation (PBE).

Cell: 3.1286 3.5136 8.5504 Å, 90.00 100.54 90.00°
Closest atoms and distances in Å follow each position.
Atoms (fractional coordinates):
Nb1 0.3835 0.2500 0.7669  4 B 2.50, 6 Fe 2.68-2.72
Nb2 0.6165 0.7500 0.2331  4 B 2.50, 6 Fe 2.68-2.72
Fe1 0.7508 0.2500 0.5015  4 B 2.11-2.24, 4 Fe 2.35
Fe2 0.2492 0.7500 0.4985  4 B 2.11-2.24, 4 Fe 2.35
Fe3 0.0401 0.2500 0.0802  1 B 2.13, 2 Fe 2.21
Fe4 0.9599 0.7500 0.9198  1 B 2.13, 2 Fe 2.21
B1 0.1665 0.2500 0.3330  5 Fe 2.11-2.24
B2 0.8335 0.7500 0.6670  5 Fe 2.11-2.24

=====

Number 1: calculated total energy -5.165 eV per atom. Number 2: calculated total energy -8.188 eV per atom. Number 3: calculated total energy -4.155 eV per atom. Number 4: calculated total energy -8.613 eV per atom.